# 1
Material: ErZnSn
Method: DFT, meta-GGA SCAN
State: single point on PBEsol structure

As for the theoretical density: 9.2 Mg/m³. Its calculated volume is 126.28 Å³/cell. The value obtained for the total energy is -33.855 eV/atom. For the magnetization, the calculation gives 0.00 μB/cell. The calculation puts the density of states at the Fermi level at 2.3 states/eV per cell.

It has space group P6_3/mmc (No. 194), with a = 4.5627 Å, b = 4.5627 Å, c = 7.0043 Å, α = 90.00°, β = 90.00° and γ = 120.00°. Symmetry generates all atoms from Er at (0.0000, 0.0000, 0.0000), Zn at (0.3333, 0.6667, 0.2500) and Sn at (0.3333, 0.6667, 0.7500).

# 2
Material: ErTe
Method: DFT, meta-GGA SCAN
State: single point on PBEsol structure

As for the theoretical density: 9.0 Mg/m³. As for the uncorrected formation energy: -1310 meV per atom. Its calculated volume is 217.13 Å³/cell. The value obtained for the total energy is -45.106 eV/atom. For the magnetization, the calculation gives 0.00 μB/cell. The calculation puts the density of states at the Fermi level at 4.3 states/eV per cell.

It has space group Fm-3m (No. 225), with a = 6.0104 Å, b = 6.0104 Å, c = 6.0104 Å, α = 90.00°, β = 90.00° and γ = 90.00°. Symmetry generates all atoms from Er at (0.0000, 0.0000, 0.0000) and Te at (0.0000, 0.0000, 0.5000).

# 3
Material: ErUTe4
Method: DFT, meta-GGA SCAN
State: single point on PBEsol structure

As for the theoretical density: 9.0 Mg/m³. As for the uncorrected formation energy: -948 meV per atom. Its calculated volume is 338.75 Å³/cell. The value obtained for the total energy is -51.427 eV/atom. For the magnetization, the calculation gives 4.54 μB/cell. The calculation puts the density of states at the Fermi level at 4.8 states/eV per cell.

It has space group Imm2 (No. 44), with a = 4.0667 Å, b = 6.0385 Å, c = 13.7945 Å, α = 90.00°, β = 90.00° and γ = 90.00°. Symmetry generates all atoms from Er at (0.0000, 0.0000, 0.0000), U at (0.0000, 0.0000, 0.7272), Te at (0.0000, 0.2506, 0.3615), Te at (0.0000, 0.5000, 0.0658) and Te at (0.0000, 0.5000, 0.6621).

# 4
Material: ErTl3
Method: DFT, meta-GGA SCAN
State: single point on PBEsol structure

As for the theoretical density: 13.0 Mg/m³. Its calculated volume is 99.95 Å³/cell. The value obtained for the total energy is -67.147 eV/atom. For the magnetization, the calculation gives 0.00 μB/cell. The calculation puts the density of states at the Fermi level at 2.1 states/eV per cell.

It has space group Pm-3m (No. 221), with a = 4.6409 Å, b = 4.6409 Å, c = 4.6409 Å, α = 90.00°, β = 90.00° and γ = 90.00°. Symmetry generates all atoms from Er at (0.0000, 0.0000, 0.0000) and Tl at (0.0000, 0.5000, 0.5000).

# 5
Material: ErTl
Method: DFT, meta-GGA SCAN
State: single point on PBEsol structure

As for the theoretical density: 12.3 Mg/m³. Its calculated volume is 50.22 Å³/cell. The value obtained for the total energy is -61.857 eV/atom. For the magnetization, the calculation gives 0.19 μB/cell. The calculation puts the density of states at the Fermi level at 0.9 states/eV per cell.

It has space group P4/mmm (No. 123), with a = 3.4590 Å, b = 3.4590 Å, c = 4.1976 Å, α = 90.00°, β = 90.00° and γ = 90.00°. Symmetry generates all atoms from Er at (0.0000, 0.0000, 0.0000) and Tl at (0.5000, 0.5000, 0.5000).

# 6
Material: Er5Tl3
Method: DFT, meta-GGA SCAN
State: single point on PBEsol structure

As for the theoretical density: 11.2 Mg/m³. The value obtained for the distance to the lowest polymorph of the same formula is 0.009 eV per atom. Its calculated volume is 860.06 Å³/cell. The value obtained for the total energy is -59.096 eV/atom. For the magnetization, the calculation gives 0.00 μB/cell. The calculation puts the density of states at the Fermi level at 16.9 states/eV per cell.

It has space group I4/mcm (No. 140), with a = 7.8985 Å, b = 7.8985 Å, c = 13.7860 Å, α = 90.00°, β = 90.00° and γ = 90.00°. Symmetry generates all atoms from Er at (0.0000, 0.0000, 0.0000), Er at (0.1589, 0.3411, 0.1527), Tl at (0.0000, 0.0000, 0.2500) and Tl at (0.1366, 0.3634, 0.5000).

# 7
Material: Er5Tl3
Method: DFT, meta-GGA SCAN
State: single point on PBEsol structure

As for the theoretical density: 11.2 Mg/m³. The value obtained for the distance to the lowest polymorph of the same formula is 0.000 eV per atom. Its calculated volume is 431.71 Å³/cell. The value obtained for the total energy is -59.105 eV/atom. For the magnetization, the calculation gives 0.00 μB/cell. The calculation puts the density of states at the Fermi level at 19.4 states/eV per cell.

It has space group P6_3/mcm (No. 193), with a = 8.8125 Å, b = 8.8125 Å, c = 6.4190 Å, α = 90.00°, β = 90.00° and γ = 120.00°. Symmetry generates all atoms from Er at (0.0000, 0.2345, 0.2500), Er at (0.3333, 0.6667, 0.0000) and Tl at (0.0000, 0.4022, 0.7500).

# 8
Material: YErTl2
Method: DFT, meta-GGA SCAN
State: single point on PBEsol structure

As for the theoretical density: 10.8 Mg/m³. Its calculated volume is 409.39 Å³/cell. The value obtained for the total energy is -56.276 eV/atom. For the magnetization, the calculation gives 0.00 μB/cell. The calculation puts the density of states at the Fermi level at 11.3 states/eV per cell.

It has space group Fm-3m (No. 225), with a = 7.4253 Å, b = 7.4253 Å, c = 7.4253 Å, α = 90.00°, β = 90.00° and γ = 90.00°. Symmetry generates all atoms from Y at (0.0000, 0.0000, 0.0000), Er at (0.0000, 0.0000, 0.5000) and Tl at (0.2500, 0.2500, 0.2500).

# 9
Material: ErTlZn
Method: DFT, meta-GGA SCAN
State: single point on PBEsol structure

As for the theoretical density: 11.2 Mg/m³. Its calculated volume is 129.09 Å³/cell. The value obtained for the total energy is -45.840 eV/atom. For the magnetization, the calculation gives 0.00 μB/cell. The calculation puts the density of states at the Fermi level at 3.7 states/eV per cell.

It has space group P6_3/mmc (No. 194), with a = 4.5968 Å, b = 4.5968 Å, c = 7.0541 Å, α = 90.00°, β = 90.00° and γ = 120.00°. Symmetry generates all atoms from Er at (0.0000, 0.0000, 0.0000), Tl at (0.3333, 0.6667, 0.2500) and Zn at (0.3333, 0.6667, 0.7500).

# 10
Material: Er3Tm
Method: DFT, meta-GGA SCAN
State: single point on PBEsol structure

As for the theoretical density: 9.6 Mg/m³. Its calculated volume is 231.19 Å³/cell. The value obtained for the total energy is -50.712 eV/atom. For the magnetization, the calculation gives 0.00 μB/cell. The calculation puts the density of states at the Fermi level at 12.4 states/eV per cell.

It has space group P6_3/mmc (No. 194), with a = 7.0037 Å, b = 7.0037 Å, c = 5.4418 Å, α = 90.00°, β = 90.00° and γ = 120.00°. Symmetry generates all atoms from Er at (0.1668, 0.3336, 0.2500) and Tm at (0.3333, 0.6667, 0.7500).

# 11
Material: ErTm3
Method: DFT, meta-GGA SCAN
State: single point on PBEsol structure

As for the theoretical density: 9.7 Mg/m³. Its calculated volume is 229.86 Å³/cell. The value obtained for the total energy is -51.458 eV/atom. For the magnetization, the calculation gives 0.00 μB/cell. The calculation puts the density of states at the Fermi level at 12.2 states/eV per cell.

It has space group P6_3/mmc (No. 194), with a = 6.9933 Å, b = 6.9933 Å, c = 5.4271 Å, α = 90.00°, β = 90.00° and γ = 120.00°. Symmetry generates all atoms from Er at (0.3333, 0.6667, 0.2500) and Tm at (0.1666, 0.3332, 0.7500).

# 12
Material: Y3Er
Method: DFT, meta-GGA SCAN
State: single point on PBEsol structure

As for the theoretical density: 5.9 Mg/m³. Its calculated volume is 244.23 Å³/cell. The value obtained for the total energy is -33.460 eV/atom. For the magnetization, the calculation gives 3.22 μB/cell. The calculation puts the density of states at the Fermi level at 12.7 states/eV per cell.

It has space group P6_3/mmc (No. 194), with a = 7.1321 Å, b = 7.1321 Å, c = 5.5441 Å, α = 90.00°, β = 90.00° and γ = 120.00°. Symmetry generates all atoms from Y at (0.1674, 0.3348, 0.2500) and Er at (0.3333, 0.6667, 0.7500).

# 13
Material: YErZn2
Method: DFT, meta-GGA SCAN
State: single point on PBEsol structure

As for the theoretical density: 7.5 Mg/m³. Its calculated volume is 341.84 Å³/cell. The value obtained for the total energy is -26.746 eV/atom. For the magnetization, the calculation gives 0.00 μB/cell. The calculation puts the density of states at the Fermi level at 15.5 states/eV per cell.

It has space group Fm-3m (No. 225), with a = 6.9921 Å, b = 6.9921 Å, c = 6.9921 Å, α = 90.00°, β = 90.00° and γ = 90.00°. Symmetry generates all atoms from Y at (0.0000, 0.0000, 0.0000), Er at (0.0000, 0.0000, 0.5000) and Zn at (0.2500, 0.2500, 0.2500).

# 14
Material: Er6Zn23
Method: DFT, meta-GGA SCAN
State: single point on PBEsol structure

As for the theoretical density: 8.8 Mg/m³. Its calculated volume is 1898.81 Å³/cell. The value obtained for the total energy is -21.508 eV/atom. For the magnetization, the calculation gives 0.00 μB/cell. The calculation puts the density of states at the Fermi level at 35.6 states/eV per cell.

It has space group Fm-3m (No. 225), with a = 12.3830 Å, b = 12.3830 Å, c = 12.3830 Å, α = 90.00°, β = 90.00° and γ = 90.00°. Symmetry generates all atoms from Er at (0.0000, 0.0000, 0.2059), Zn at (0.0000, 0.0000, 0.5000), Zn at (0.0000, 0.2500, 0.2500), Zn at (0.1224, 0.1224, 0.3776) and Zn at (0.1713, 0.1713, 0.1713).

# 15
Material: ErZn5
Method: DFT, meta-GGA SCAN
State: single point on PBEsol structure

As for the theoretical density: 8.6 Mg/m³. Its calculated volume is 95.95 Å³/cell. The value obtained for the total energy is -20.008 eV/atom. For the magnetization, the calculation gives 0.00 μB/cell. The calculation puts the density of states at the Fermi level at 1.9 states/eV per cell.

It has space group P6/mmm (No. 191), with a = 5.1720 Å, b = 5.1720 Å, c = 4.1418 Å, α = 90.00°, β = 90.00° and γ = 120.00°. Symmetry generates all atoms from Er at (0.0000, 0.0000, 0.0000), Zn at (0.0000, 0.5000, 0.5000) and Zn at (0.3333, 0.6667, 0.0000).

# 16
Material: ErZn3
Method: DFT, meta-GGA SCAN
State: single point on PBEsol structure

As for the theoretical density: 8.8 Mg/m³. Its calculated volume is 274.17 Å³/cell. The value obtained for the total energy is -23.160 eV/atom. For the magnetization, the calculation gives 0.00 μB/cell. The calculation puts the density of states at the Fermi level at 7.3 states/eV per cell.

It has space group Pnma (No. 62), with a = 6.5401 Å, b = 4.2692 Å, c = 9.8192 Å, α = 90.00°, β = 90.00° and γ = 90.00°. Symmetry generates all atoms from Er at (0.2221, 0.2500, 0.1625), Zn at (0.0374, 0.7500, 0.3963), Zn at (0.0797, 0.2500, 0.8530) and Zn at (0.2178, 0.7500, 0.9567).

# 17
Material: ErZn12
Method: DFT, meta-GGA SCAN
State: single point on PBEsol structure

As for the theoretical density: 8.3 Mg/m³. Its calculated volume is 382.55 Å³/cell. The value obtained for the total energy is -16.567 eV/atom. For the magnetization, the calculation gives 0.00 μB/cell. The calculation puts the density of states at the Fermi level at 4.5 states/eV per cell.

It has space group I4/mmm (No. 139), with a = 8.7236 Å, b = 8.7236 Å, c = 5.0269 Å, α = 90.00°, β = 90.00° and γ = 90.00°. Symmetry generates all atoms from Er at (0.0000, 0.0000, 0.0000), Zn at (0.0000, 0.2151, 0.5000), Zn at (0.0000, 0.3536, 0.0000) and Zn at (0.2500, 0.2500, 0.2500).

# 18
Material: Er2Zn17
Method: DFT, meta-GGA SCAN
State: single point on PBEsol structure

As for the theoretical density: 8.4 Mg/m³. Its calculated volume is 855.98 Å³/cell. The value obtained for the total energy is -17.679 eV/atom. For the magnetization, the calculation gives 0.00 μB/cell. The calculation puts the density of states at the Fermi level at 12.7 states/eV per cell.

It has space group R-3m (No. 166, hexagonal axes), with a = 8.7712 Å, b = 8.7712 Å, c = 12.8474 Å, α = 90.00°, β = 90.00° and γ = 120.00°. Symmetry generates all atoms from Er at (0.0000, 0.0000, 0.1646), Zn at (0.0000, 0.0000, 0.3999), Zn at (0.0000, 0.2981, 0.5000), Zn at (0.0000, 0.5000, 0.0000) and Zn at (0.0090, 0.5045, 0.6521).

# 19
Material: ErZn
Method: DFT, meta-GGA SCAN
State: single point on PBEsol structure

As for the theoretical density: 9.2 Mg/m³. Its calculated volume is 41.85 Å³/cell. The value obtained for the total energy is -32.361 eV/atom. For the magnetization, the calculation gives 0.00 μB/cell. The calculation puts the density of states at the Fermi level at 1.8 states/eV per cell.

It has space group Pm-3m (No. 221), with a = 3.4720 Å, b = 3.4720 Å, c = 3.4720 Å, α = 90.00°, β = 90.00° and γ = 90.00°. Symmetry generates all atoms from Er at (0.0000, 0.0000, 0.0000) and Zn at (0.5000, 0.5000, 0.5000).

# 20
Material: ErZn5
Method: DFT, meta-GGA SCAN
State: single point on PBEsol structure

As for the theoretical density: 8.5 Mg/m³. Its calculated volume is 578.20 Å³/cell. The value obtained for the total energy is -19.994 eV/atom. For the magnetization, the calculation gives 0.00 μB/cell. The calculation puts the density of states at the Fermi level at 9.9 states/eV per cell.

It has space group P6_3/mmc (No. 194), with a = 8.6801 Å, b = 8.6801 Å, c = 8.8613 Å, α = 90.00°, β = 90.00° and γ = 120.00°. Symmetry generates all atoms from Er at (0.1882, 0.3764, 0.2500), Zn at (0.0000, 0.0000, 0.0000), Zn at (0.0000, 0.5000, 0.0000), Zn at (0.1355, 0.5678, 0.7500), Zn at (0.1608, 0.3217, 0.5922) and Zn at (0.3333, 0.6667, 0.0181).

# 21
Material: EuF2
Method: DFT, meta-GGA SCAN
State: single point on PBEsol structure

As for the theoretical density: 6.6 Mg/m³. As for the uncorrected formation energy: -4036 meV per atom. Its calculated volume is 190.04 Å³/cell. The value obtained for the total energy is -24.300 eV/atom. For the magnetization, the calculation gives 28.00 μB/cell. The calculation puts the density of states at the Fermi level at 13.1 states/eV per cell.

It has space group Fm-3m (No. 225), with a = 5.7493 Å, b = 5.7493 Å, c = 5.7493 Å, α = 90.00°, β = 90.00° and γ = 90.00°. Symmetry generates all atoms from Eu at (0.0000, 0.0000, 0.0000) and F at (0.2500, 0.2500, 0.2500).